No. 1
This record from Alexandria via LeMat-Bulk describes an optimized crystal structure of NaPmIO6. The functional is PBE.

## Properties
D(E_F) ... 0.8635 states/eV per atom
Magnetization ... 1.03 μB per cell
Uncorrected formation energy ... -1.346 eV per atom

```
data_NaPmIO6
_chemical_formula_sum 'Na1 Pm1 I1 O6'
_space_group_name_H-M_alt 'P 3 1 2'
_space_group_IT_number 149
_cell_length_a 5.5290
_cell_length_b 5.5290
_cell_length_c 4.8930
_cell_angle_alpha 90.00
_cell_angle_beta 90.00
_cell_angle_gamma 120.00
loop_
_space_group_symop_operation_xyz
'x,y,z'
'-y,x-y,z'
'-x+y,-x,z'
'-y,-x,-z'
'-x+y,y,-z'
'x,x-y,-z'
loop_
_atom_site_label
_atom_site_fract_x
_atom_site_fract_y
_atom_site_fract_z
Na1 0.0000 0.0000 0.0000
Pm1 0.6667 0.3333 0.5000
I1 0.3333 0.6667 0.0000
O1 0.0445 0.3925 0.2204
```



No. 2
This record from Alexandria via LeMat-Bulk describes an optimized crystal structure of NaPtI2O. The functional is PBE.

## Properties
D(E_F) ... 0.5271 states/eV per atom
Magnetization ... 0.43 μB per cell
Uncorrected formation energy ... -0.453 eV per atom

```
data_NaPtI2O
_chemical_formula_sum 'Na1 Pt1 I2 O1'
_space_group_name_H-M_alt 'P 4/m m m'
_space_group_IT_number 123
_space_group_name_Hall '-P 4 2'
_cell_length_a 5.817
_cell_length_b 5.817
_cell_length_c 3.858
_cell_angle_alpha 90.00
_cell_angle_beta 90.00
_cell_angle_gamma 90.00
loop_
_atom_site_label
_atom_site_fract_x
_atom_site_fract_y
_atom_site_fract_z
Na1 0.000 0.000 0.000
Pt1 0.500 0.500 0.500
I1 0.000 0.500 0.500
O1 0.500 0.500 0.000
```



No. 3
This record from Alexandria via LeMat-Bulk describes an optimized crystal structure of NaPtI2O. The functional is PBE.

## Properties
D(E_F) ... 2.1069 states/eV per atom
Magnetization ... 0.00 μB per cell
Uncorrected formation energy ... 0.735 eV per atom

```
data_NaPtI2O
_chemical_formula_sum 'Na1 Pt1 I2 O1'
_space_group_name_H-M_alt 'P 4/m m m'
_space_group_IT_number 123
_space_group_name_Hall '-P 4 2'
_cell_length_a 5.570
_cell_length_b 5.570
_cell_length_c 3.959
_cell_angle_alpha 90.00
_cell_angle_beta 90.00
_cell_angle_gamma 90.00
loop_
_atom_site_label
_atom_site_fract_x
_atom_site_fract_y
_atom_site_fract_z
Na1 0.000 0.000 0.000
Pt1 0.500 0.500 0.500
I1 0.000 0.500 0.000
O1 0.000 0.000 0.500
```



No. 4
This record from Alexandria via LeMat-Bulk describes an optimized crystal structure of NaPtIO6. The functional is PBE.

## Properties
D(E_F) ... 0.0000 states/eV per atom
Magnetization ... 0.00 μB per cell
Uncorrected formation energy ... -0.673 eV per atom

```
data_NaPtIO6
_chemical_formula_sum 'Na2 Pt2 I2 O12'
_space_group_name_H-M_alt 'P -3 1 c'
_space_group_IT_number 163
_space_group_name_Hall '-P 3 2c'
_cell_length_a 5.2419
_cell_length_b 5.2419
_cell_length_c 10.4648
_cell_angle_alpha 90.00
_cell_angle_beta 90.00
_cell_angle_gamma 120.00
loop_
_atom_site_label
_atom_site_fract_x
_atom_site_fract_y
_atom_site_fract_z
Na1 0.0000 0.0000 0.0000
Pt1 0.3333 0.6667 0.2500
I1 0.3333 0.6667 0.7500
O1 0.0131 0.3727 0.6469
```



No. 5
This record from Alexandria via LeMat-Bulk describes an optimized crystal structure of Na2PuIO6. The functional is PBE.

## Properties
D(E_F) ... 0.6741 states/eV per atom
Magnetization ... 3.00 μB per cell
Uncorrected formation energy ... -1.585 eV per atom

```
data_Na2PuIO6
_chemical_formula_sum 'Na2 Pu1 I1 O6'
_space_group_name_H-M_alt 'P 4 m m'
_space_group_IT_number 99
_cell_length_a 5.911
_cell_length_b 5.911
_cell_length_c 4.332
_cell_angle_alpha 90.00
_cell_angle_beta 90.00
_cell_angle_gamma 90.00
loop_
_space_group_symop_operation_xyz
'x,y,z'
'-y,x,z'
'-x,-y,z'
'y,-x,z'
'-x,y,z'
'y,x,z'
'x,-y,z'
'-y,-x,z'
loop_
_atom_site_label
_atom_site_fract_x
_atom_site_fract_y
_atom_site_fract_z
Na1 0.000 0.500 0.000
Pu1 0.000 0.000 0.412
I1 0.500 0.500 0.401
O1 0.000 0.000 0.909
O2 0.254 0.254 0.387
O3 0.500 0.500 0.978
```



No. 6
This record from Alexandria via LeMat-Bulk describes an optimized crystal structure of Rb2NaIO. The functional is PBE.

## Properties
Magnetization ... 0.00 μB per cell
Uncorrected formation energy ... -1.200 eV per atom

```
data_Rb2NaIO
_chemical_formula_sum 'Rb2 Na1 I1 O1'
_space_group_name_H-M_alt 'P 4/m m m'
_space_group_IT_number 123
_space_group_name_Hall '-P 4 2'
_cell_length_a 5.874
_cell_length_b 5.874
_cell_length_c 4.597
_cell_angle_alpha 90.00
_cell_angle_beta 90.00
_cell_angle_gamma 90.00
loop_
_atom_site_label
_atom_site_fract_x
_atom_site_fract_y
_atom_site_fract_z
Rb1 0.000 0.500 0.000
Na1 0.000 0.000 0.500
I1 0.500 0.500 0.500
O1 0.000 0.000 0.000
```



No. 7
This record from Alexandria via LeMat-Bulk describes an optimized crystal structure of Rb3Na2IO6. The functional is PBE.

## Properties
D(E_F) ... 0.0000 states/eV per atom
Magnetization ... 0.00 μB per cell
Uncorrected formation energy ... -1.184 eV per atom

```
data_Rb3Na2IO6
_chemical_formula_sum 'Rb6 Na4 I2 O12'
_space_group_name_H-M_alt 'C 1 2/m 1'
_space_group_IT_number 12
_cell_length_a 6.104
_cell_length_b 10.580
_cell_length_c 6.543
_cell_angle_alpha 90.00
_cell_angle_beta 107.32
_cell_angle_gamma 90.00
loop_
_space_group_symop_operation_xyz
'x,y,z'
'-x,-y,-z'
'-x,y,-z'
'x,-y,z'
'x+1/2,y+1/2,z'
'-x+1/2,-y+1/2,-z'
'-x+1/2,y+1/2,-z'
'x+1/2,-y+1/2,z'
loop_
_atom_site_label
_atom_site_fract_x
_atom_site_fract_y
_atom_site_fract_z
Rb1 0.000 0.000 0.000
Rb2 0.000 0.322 0.000
Na1 0.000 0.166 0.500
I1 0.000 0.500 0.500
O1 0.191 0.369 0.672
O2 0.198 0.500 0.316
```



No. 8
This record from Alexandria via LeMat-Bulk describes an optimized crystal structure of RbNa2IO6. The functional is PBE.

## Properties
D(E_F) ... 0.7262 states/eV per atom
Magnetization ... 6.00 μB per cell
Uncorrected formation energy ... -0.864 eV per atom

```
data_RbNa2IO6
_chemical_formula_sum 'Rb3 Na6 I3 O18'
_space_group_name_H-M_alt 'R -3'
_space_group_IT_number 148
_space_group_name_Hall '-R 3'
_cell_length_a 6.2487
_cell_length_b 6.2487
_cell_length_c 14.9280
_cell_angle_alpha 90.00
_cell_angle_beta 90.00
_cell_angle_gamma 120.00
loop_
_atom_site_label
_atom_site_fract_x
_atom_site_fract_y
_atom_site_fract_z
Rb1 0.0000 0.0000 0.0000
Na1 0.0000 0.0000 0.2808
I1 0.0000 0.0000 0.5000
O1 0.0367 0.7763 0.4257
```



No. 9
This record from Alexandria via LeMat-Bulk describes an optimized crystal structure of Rb3NaI2O9. The functional is PBE.

## Properties
D(E_F) ... 0.7040 states/eV per atom
Magnetization ... 0.63 μB per cell
Uncorrected formation energy ... -0.862 eV per atom

```
data_Rb3NaI2O9
_chemical_formula_sum 'Rb3 Na1 I2 O9'
_space_group_name_H-M_alt 'P -3 m 1'
_space_group_IT_number 164
_space_group_name_Hall '-P 3 2"'
_cell_length_a 6.0198
_cell_length_b 6.0198
_cell_length_c 7.5202
_cell_angle_alpha 90.00
_cell_angle_beta 90.00
_cell_angle_gamma 120.00
loop_
_atom_site_label
_atom_site_fract_x
_atom_site_fract_y
_atom_site_fract_z
Rb1 0.0000 0.0000 0.0000
Rb2 0.3333 0.6667 0.6589
Na1 0.0000 0.0000 0.5000
I1 0.3333 0.6667 0.1687
O1 0.0000 0.5000 0.0000
O2 0.1830 0.3661 0.2978
```



No. 10
This record from Alexandria via LeMat-Bulk describes an optimized crystal structure of RbNaIO2. The functional is PBE.

## Properties
D(E_F) ... 0.4242 states/eV per atom
Magnetization ... 3.00 μB per cell
Uncorrected formation energy ... -0.286 eV per atom

```
data_RbNaIO2
_chemical_formula_sum 'Rb1 Na1 I1 O2'
_space_group_name_H-M_alt 'P 4/m m m'
_space_group_IT_number 123
_space_group_name_Hall '-P 4 2'
_cell_length_a 4.977
_cell_length_b 4.977
_cell_length_c 6.149
_cell_angle_alpha 90.00
_cell_angle_beta 90.00
_cell_angle_gamma 90.00
loop_
_atom_site_label
_atom_site_fract_x
_atom_site_fract_y
_atom_site_fract_z
Rb1 0.000 0.000 0.000
Na1 0.500 0.500 0.500
I1 0.500 0.500 0.000
O1 0.000 0.500 0.500
```



No. 11
This record from Alexandria via LeMat-Bulk describes an optimized crystal structure of Rb2Na3IO6. The functional is PBE.

## Properties
D(E_F) ... 0.0000 states/eV per atom
Magnetization ... 0.00 μB per cell
Uncorrected formation energy ... -1.207 eV per atom

```
data_Rb2Na3IO6
_chemical_formula_sum 'Rb4 Na6 I2 O12'
_space_group_name_H-M_alt 'C 1 2/m 1'
_space_group_IT_number 12
_cell_length_a 6.493
_cell_length_b 12.092
_cell_length_c 5.806
_cell_angle_alpha 90.00
_cell_angle_beta 113.51
_cell_angle_gamma 90.00
loop_
_space_group_symop_operation_xyz
'x,y,z'
'-x,-y,-z'
'-x,y,-z'
'x,-y,z'
'x+1/2,y+1/2,z'
'-x+1/2,-y+1/2,-z'
'-x+1/2,y+1/2,-z'
'x+1/2,-y+1/2,z'
loop_
_atom_site_label
_atom_site_fract_x
_atom_site_fract_y
_atom_site_fract_z
Rb1 0.000 0.175 0.000
Na1 0.000 0.000 0.500
Na2 0.000 0.379 0.500
I1 0.000 0.500 0.000
O1 0.186 0.388 0.227
O2 0.192 0.500 0.820
```



No. 12
This record from Alexandria via LeMat-Bulk describes an optimized crystal structure of Rb2Na2IO6. The functional is PBE.

## Properties
D(E_F) ... 0.9216 states/eV per atom
Magnetization ... 2.18 μB per cell
Uncorrected formation energy ... -1.089 eV per atom

```
data_Rb2Na2IO6
_chemical_formula_sum 'Rb4 Na4 I2 O12'
_space_group_name_H-M_alt 'C 1 2/m 1'
_space_group_IT_number 12
_cell_length_a 6.154
_cell_length_b 9.989
_cell_length_c 6.825
_cell_angle_alpha 90.00
_cell_angle_beta 111.26
_cell_angle_gamma 90.00
loop_
_space_group_symop_operation_xyz
'x,y,z'
'-x,-y,-z'
'-x,y,-z'
'x,-y,z'
'x+1/2,y+1/2,z'
'-x+1/2,-y+1/2,-z'
'-x+1/2,y+1/2,-z'
'x+1/2,-y+1/2,z'
loop_
_atom_site_label
_atom_site_fract_x
_atom_site_fract_y
_atom_site_fract_z
Rb1 0.000 0.184 0.000
Na1 0.000 0.342 0.500
I1 0.000 0.000 0.500
O1 0.193 0.000 0.335
O2 0.193 0.136 0.674
```